1.
Compound: HoFe2Os
Source: Alexandria via LeMat-Bulk
Functional: PBE
Structure: optimized geometry

Cell: 2.821 4.127 5.661 Å, 90.00 104.38 90.00°
Atoms (fractional coordinates):
Ho1 0.000 0.000 0.000
Fe1 0.244 0.500 0.695
Fe2 0.756 0.500 0.305
Os1 0.500 0.000 0.500

Values from the calculation:
Formation energy from the elements = 0.2657 eV/atom
Total DFT energy (no corrections) = -7.92 eV/atom
Magnetization = 1.13 μB per atom

2.
Compound: Be2InHg
Source: Alexandria via LeMat-Bulk
Functional: PBE
Structure: optimized geometry

Cell: 3.416 3.416 8.432 Å, 90.00 90.00 131.42°
Atoms (fractional coordinates):
Be1 0.000 0.000 0.245
Be2 0.000 0.000 0.755
In1 0.500 0.500 0.500
Hg1 0.500 0.500 0.000

Values from the calculation:
Formation energy from the elements = 0.6160 eV/atom
Total DFT energy (no corrections) = -2.01 eV/atom
Magnetization = 0.00 μB per atom
Offset from the most stable computed form = 0.234 eV per atom

- Which value of magnetization does entry 2 give?
  0.00 μB per atom